[1]
DFT (GGA-PBE) results for a relaxed Ta2ZnSe crystal.

Mass density (g/cm3): 12.697

a b c (Å): 6.4219 6.4219 6.4219
angles (deg): 90.00 90.00 90.00
With the nearest neighbours (Å) after each atom.
Space group Fm-3m (No. 225)
One atom of each set of equivalent atoms:
Ta 0.2500 0.2500 0.2500 [8 per cell]  4 Se 2.78, 4 Zn 2.78
Zn 0.0000 0.0000 0.0000 [4 per cell]  8 Ta 2.78
Se 0.0000 0.0000 0.5000 [4 per cell]  8 Ta 2.78

=====

[2]
DFT (GGA-PBE) results for a relaxed Li3Sc crystal.

Mass density (g/cm3): 1.288
Formation enthalpy at 0 K (eV per atom): 0.2452

a b c (Å): 4.3931 4.3931 4.3931
angles (deg): 90.00 90.00 90.00
With the nearest neighbours (Å) after each atom.
Space group Pm-3m (No. 221)
One atom of each set of equivalent atoms:
Li 0.0000 0.0000 0.5000 [3 per cell]  8 Li 3.11, 4 Sc 3.11
Sc 0.5000 0.5000 0.5000 [1 per cell]  12 Li 3.11

=====

[3]
DFT (GGA-PBE) results for a relaxed NaCd2HgGe crystal.

Mass density (g/cm3): 5.508
Formation enthalpy at 0 K (eV per atom): 0.0859

a b c (Å): 5.2236 5.2236 5.7570
angles (deg): 90.00 90.00 90.00
With the nearest neighbours (Å) after each atom.
Space group P4/mmm (No. 123)
One atom of each set of equivalent atoms:
Na 0.0000 0.0000 0.0000 [1 per cell]  2 Ge 2.88
Cd 0.0000 0.5000 0.5000 [2 per cell]  2 Ge 2.61
Hg 0.5000 0.5000 0.0000 [1 per cell]  4 Na 3.69, 8 Cd 3.89
Ge 0.0000 0.0000 0.5000 [1 per cell]  4 Cd 2.61, 2 Na 2.88

=====

[4]
DFT (GGA-PBE) results for a relaxed Dy5Sc2Pb5 crystal.

Mass density (g/cm3): 9.220
Formation enthalpy at 0 K (eV per atom): -0.3319

a b c (Å): 12.6798 4.7288 12.9911
angles (deg): 90.00 116.31 90.00
With the nearest neighbours (Å) after each atom.
Space group C2/m (No. 12)
One atom of each set of equivalent atoms:
Dy 0.0000 0.0000 0.0000 [2 per cell]  6 Pb 3.20-3.39
Dy 0.1587 0.0000 0.5142 [4 per cell]  5 Pb 3.06-3.42, 1 Sc 3.39
Dy 0.1814 0.0000 0.7971 [4 per cell]  5 Pb 3.16-3.26
Sc 0.0538 0.5000 0.2906 [4 per cell]  4 Pb 2.89-3.08
Pb 0.0000 0.5000 0.5000 [2 per cell]  4 Dy 3.06, 2 Sc 3.08
Pb 0.1347 0.5000 0.9407 [4 per cell]  1 Sc 2.89, 5 Dy 3.16-3.22
Pb 0.1935 0.0000 0.2819 [4 per cell]  2 Sc 2.99, 3 Dy 3.24-3.26

=====

[5]
DFT (GGA-PBE) results for a relaxed Ce2PrEr3P6 crystal.

Mass density (g/cm3): 6.558
Formation enthalpy at 0 K (eV per atom): -1.5567

a b c (Å): 7.0147 12.1489 6.9913
angles (deg): 90.00 109.54 90.00
With the nearest neighbours (Å) after each atom.
Space group C2/m (No. 12)
One atom of each set of equivalent atoms:
Ce 0.0000 0.1670 0.0000 [4 per cell]  6 P 2.87-2.88
Pr 0.0000 0.5000 0.0000 [2 per cell]  6 P 2.92-2.93
Er 0.0000 0.0000 0.5000 [2 per cell]  6 P 2.79-2.85
Er 0.0000 0.3345 0.5000 [4 per cell]  6 P 2.81-2.85
P 0.2443 0.1697 0.7422 [8 per cell]  3 Er 2.81-2.85, 2 Ce 2.87, 1 Pr 2.92
P 0.2469 0.0000 0.2585 [4 per cell]  3 Er 2.79-2.84, 2 Ce 2.88, 1 Pr 2.93

=====

[6]
DFT (GGA-PBE) results for a relaxed Pu2AlGa6Au crystal.

Mass density (g/cm3): 8.452
Formation enthalpy at 0 K (eV per atom): -0.1452

a b c (Å): 5.4821 5.4821 51.1940
angles (deg): 90.00 90.00 120.00
With the nearest neighbours (Å) after each atom.
Space group R-3m (No. 166, hexagonal axes)
One atom of each set of equivalent atoms:
Pu 0.0000 0.0000 0.1797 [6 per cell]  9 Ga 3.13-3.22, 3 Al 3.23, 3 Pu 3.44
Pu 0.0000 0.0000 0.2509 [6 per cell]  3 Au 3.17, 12 Ga 3.45-3.48
Al 0.0000 0.0000 0.0000 [3 per cell]  6 Ga 2.66
Al 0.0000 0.0000 0.5000 [3 per cell]  6 Ga 2.73
Ga 0.0011 0.5006 0.2917 [18 per cell]  1 Al 2.66, 1 Au 2.69, 4 Ga 2.73-2.75
Ga 0.0158 0.5079 0.7909 [18 per cell]  4 Ga 2.61-2.87, 1 Au 2.63, 1 Al 2.73
Au 0.0000 0.0000 0.4176 [6 per cell]  6 Ga 2.63-2.69

=====

Values for total DFT energy (no corrections), eV per atom, ordered as above
-6.90; -2.77; -1.53; -4.85; -6.79; -5.53